Compound: Tb3Ce2Y6Th
Source: the Alexandria database
Functional: PBE
Structure: optimized geometry

* D(E_F): 1.847 states/eV per atom
* mass density: 6.6 g/cm3
* energy of formation from the pure elements: 0.05 eV per atom

a = 6.161 Å, b = 10.669 Å, c = 11.762 Å
α = 90.00°, β = 100.07°, γ = 90.00°
Space group C2/m (No. 12)
Inequivalent atoms, fractional coordinates:
Tb: 0.000 0.000 0.000
Tb: 0.000 0.333 0.000
Ce: 0.000 0.167 0.500
Y: 0.249 0.334 0.747
Y: 0.249 0.500 0.253
Th: 0.000 0.500 0.500

=====

Compound: Li2Ti2MnS6
Source: the Alexandria database
Functional: PBE
Structure: optimized geometry

* E_form (uncorrected): -114 kJ per mole of atoms
* D(E_F): 0.380 states/eV per atom
* mass density: 3.2 g/cm3

a = 5.873 Å, b = 10.180 Å, c = 6.533 Å
α = 90.00°, β = 107.41°, γ = 90.00°
Space group C2/m (No. 12)
Inequivalent atoms, fractional coordinates:
Li: 0.000 0.169 0.000
Ti: 0.000 0.334 0.500
Mn: 0.000 0.000 0.500
S: 0.236 0.161 0.727
S: 0.245 0.000 0.272

=====

Compound: TiRhI2Br
Source: the Alexandria database
Functional: PBE
Structure: optimized geometry

* E_form (uncorrected): 45 kJ per mole of atoms
* D(E_F): 2.936 states/eV per atom
* mass density: 5.5 g/cm3

a = 5.376 Å, b = 5.376 Å, c = 5.028 Å
α = 90.00°, β = 90.00°, γ = 90.00°
Space group P4/mmm (No. 123)
Inequivalent atoms, fractional coordinates:
Ti: 0.000 0.000 0.000
Rh: 0.500 0.500 0.500
I: 0.000 0.500 0.500
Br: 0.500 0.500 0.000

=====

Compound: La2ScAs
Source: the Alexandria database
Functional: PBE
Structure: optimized geometry

* D(E_F): 0.950 states/eV per atom
* mass density: 6.1 g/cm3
* energy of formation from the pure elements: -0.44 eV per atom

a = 3.745 Å, b = 4.587 Å, c = 12.563 Å
α = 90.00°, β = 90.00°, γ = 90.00°
Space group Immm (No. 71)
Inequivalent atoms, fractional coordinates:
La: 0.000 0.000 0.199
Sc: 0.000 0.500 0.000
As: 0.000 0.500 0.500

=====

Compound: Sr2AlHg2
Source: the Alexandria database
Functional: PBE
Structure: optimized geometry

* D(E_F): 0.862 states/eV per atom
* mass density: 6.1 g/cm3
* energy relative to the lowest polymorph listed for this composition: 1.479 eV per formula unit
* energy of formation from the pure elements: -0.12 eV per atom

a = 9.044 Å, b = 9.044 Å, c = 4.037 Å
α = 90.00°, β = 90.00°, γ = 90.00°
Space group P4/mbm (No. 127)
Inequivalent atoms, fractional coordinates:
Sr: 0.160 0.340 0.000
Al: 0.000 0.000 0.000
Hg: 0.136 0.636 0.500

=====

Compound: LiLaZr2B
Source: the Alexandria database
Functional: PBE
Structure: optimized geometry

* D(E_F): 1.355 states/eV per atom
* mass density: 4.7 g/cm3
* energy of formation from the pure elements: 0.17 eV per atom

a = 4.691 Å, b = 4.691 Å, c = 5.437 Å
α = 90.00°, β = 90.00°, γ = 90.00°
Space group P4/mmm (No. 123)
Inequivalent atoms, fractional coordinates:
Li: 0.000 0.000 0.000
La: 0.500 0.500 0.000
Zr: 0.000 0.500 0.500
B: 0.500 0.500 0.500

=====

What did the second record say?
Compound: Li2Ti2MnS6
Source: the Alexandria database
Functional: PBE
Structure: optimized geometry

* E_form (uncorrected): -114 kJ per mole of atoms
* D(E_F): 0.380 states/eV per atom
* mass density: 3.2 g/cm3

a = 5.873 Å, b = 10.180 Å, c = 6.533 Å
α = 90.00°, β = 107.41°, γ = 90.00°
Space group C2/m (No. 12)
Inequivalent atoms, fractional coordinates:
Li: 0.000 0.169 0.000
Ti: 0.000 0.334 0.500
Mn: 0.000 0.000 0.500
S: 0.236 0.161 0.727
S: 0.245 0.000 0.272